# 1
Entry from Alexandria: an optimized crystal structure of ErTmH2 (GGA-PBE).

For the density of states at the Fermi level, the calculation gives 2.0 states/eV/f.u.

Cell lengths 6.146, 6.146, 6.146 Å; angles 33.82, 33.82, 33.82 degrees
Fractional coordinates of all 4 atoms:
Er  0.000  0.000  0.000
Tm  0.500  0.500  0.500
H  0.126  0.126  0.126
H  0.874  0.874  0.874


# 2
Entry from Alexandria: an optimized crystal structure of BaYF2 (GGA-PBE).

For the density of states at the Fermi level, the calculation gives 3.8 states/eV/f.u. As for the uncorrected formation energy: -2693 meV/atom.

Cell lengths 6.863, 6.863, 6.863 Å; angles 37.05, 37.05, 37.05 degrees
Fractional coordinates of all 4 atoms:
Ba  0.000  0.000  0.000
Y  0.500  0.500  0.500
F  0.384  0.384  0.384
F  0.616  0.616  0.616


# 3
Entry from Alexandria: an optimized crystal structure of DyY2Tm4 (GGA-PBE).

Its formation energy is 2.0 eV/f.u. For the density of states at the Fermi level, the calculation gives 11.2 states/eV/f.u.

Cell lengths 8.889, 8.889, 8.889 Å; angles 135.84, 101.84, 94.44 degrees
Fractional coordinates of all 14 atoms:
Dy  0.500  0.000  0.000
Dy  0.500  0.500  0.500
Y  0.000  0.000  0.000
Y  0.027  0.777  0.250
Y  0.500  0.000  0.500
Y  0.973  0.223  0.750
Tm  0.147  0.639  0.508
Tm  0.239  0.265  0.525
Tm  0.239  0.714  0.975
Tm  0.370  0.361  0.008
Tm  0.630  0.639  0.992
Tm  0.761  0.286  0.025
Tm  0.761  0.735  0.475
Tm  0.853  0.361  0.492


# 4
Entry from Alexandria: an optimized crystal structure of CsRb2Sn2Br7 (GGA-PBE).

As for the uncorrected formation energy: -1285 meV/atom.

Cell lengths 5.888, 5.888, 15.137 Å; angles 101.17, 101.17, 89.96 degrees
Fractional coordinates of all 12 atoms:
Cs  0.000  0.000  0.000
Rb  0.166  0.166  0.360
Rb  0.834  0.834  0.640
Sn  0.396  0.396  0.792
Sn  0.604  0.604  0.208
Br  0.101  0.596  0.204
Br  0.287  0.287  0.594
Br  0.404  0.899  0.796
Br  0.500  0.500  0.000
Br  0.596  0.101  0.204
Br  0.713  0.713  0.406
Br  0.899  0.404  0.796


# 5
Entry from Alexandria: an optimized crystal structure of NbPt2C (GGA-PBE).

Its formation energy is 1.8 eV/f.u. For the density of states at the Fermi level, the calculation gives 1.0 states/eV/f.u.

Cell lengths 6.266, 6.266, 6.266 Å; angles 129.72, 129.72, 73.86 degrees
Fractional coordinates of all 8 atoms:
Nb  0.000  0.000  0.000
Nb  0.750  0.250  0.500
Pt  0.211  0.625  0.086
Pt  0.375  0.461  0.586
Pt  0.539  0.125  0.914
Pt  0.875  0.789  0.414
C  0.250  0.750  0.500
C  0.500  0.500  0.000


# 6
Entry from Alexandria: an optimized crystal structure of Cu2BTe (GGA-PBE).

For the density of states at the Fermi level, the calculation gives 1.6 states/eV/f.u. As for the uncorrected formation energy: 992 meV/atom.

Cell lengths 4.432, 4.432, 4.432 Å; angles 60.00, 60.00, 60.00 degrees
Fractional coordinates of all 4 atoms:
Cu  0.250  0.250  0.250
Cu  0.750  0.750  0.750
B  0.000  0.000  0.000
Te  0.500  0.500  0.500


The calculation returns the following calculated total energy values, one per record and in order: -17.82, -22.90, -33.46, -37.93, -29.54, -14.04 eV per formula unit.